# 1
The following is a GGA-PBE calculation of an optimized crystal structure of SrMgCu2, from Alexandria.

Lattice parameters (Å, degrees): 4.488 5.851 7.088 90.00 90.00 90.00
Fractional coordinates of all 8 atoms:
Sr 0.500 0.865 0.000
Sr 0.000 0.135 0.500
Mg 0.500 0.647 0.500
Mg 0.000 0.353 0.000
Cu 0.000 0.609 0.692
Cu 0.500 0.391 0.808
Cu 0.000 0.609 0.308
Cu 0.500 0.391 0.192

Summary:
* symmetry: Pmmn
* ρ: 4.3 g cm⁻³
* crystal system: orthorhombic
* formation enthalpy at 0 K: -0.0817 eV per atom

# 2
The following is a GGA-PBE calculation of an optimized crystal structure of Sr6MgCu, from Alexandria.

Lattice parameters (Å, degrees): 4.392 9.085 9.085 96.52 90.00 90.00
Fractional coordinates of all 8 atoms:
Sr 0.000 0.548 0.791
Sr 0.000 0.209 0.452
Sr 0.000 0.650 0.350
Sr 0.500 0.912 0.644
Sr 0.500 0.356 0.088
Sr 0.500 0.910 0.090
Mg 0.000 0.147 0.853
Cu 0.500 0.267 0.733

Summary:
* symmetry: Amm2
* ρ: 2.8 g cm⁻³
* crystal system: orthorhombic
* formation enthalpy at 0 K: 0.0190 eV per atom

# 3
The following is a GGA-PBE calculation of an optimized crystal structure of SrMg4Cu2, from Alexandria.

Lattice parameters (Å, degrees): 4.367 8.446 8.446 90.00 90.00 90.00
Fractional coordinates of all 14 atoms:
Sr 0.500 0.000 0.000
Sr 0.000 0.500 0.500
Mg 0.000 0.088 0.338
Mg 0.000 0.912 0.662
Mg 0.500 0.162 0.588
Mg 0.500 0.838 0.412
Mg 0.500 0.412 0.838
Mg 0.500 0.588 0.162
Mg 0.000 0.338 0.088
Mg 0.000 0.662 0.912
Cu 0.000 0.219 0.781
Cu 0.000 0.781 0.219
Cu 0.500 0.719 0.719
Cu 0.500 0.281 0.281

Summary:
* symmetry: P4_2/mnm
* ρ: 3.3 g cm⁻³
* crystal system: tetragonal
* formation enthalpy at 0 K: -0.0998 eV per atom

# 4
The following is a GGA-PBE calculation of an optimized crystal structure of SrMgCu, from Alexandria.

Lattice parameters (Å, degrees): 6.523 6.523 3.542 74.25 74.24 31.51
Fractional coordinates of all 3 atoms:
Cu 0.975 0.975 0.025
Mg 0.374 0.374 0.626
Sr 0.651 0.651 0.349

Summary:
* symmetry: I4mm
* ρ: 3.9 g cm⁻³
* crystal system: tetragonal
* formation enthalpy at 0 K: 0.0126 eV per atom

# 5
The following is a GGA-PBE calculation of an optimized crystal structure of SrMg4Cu, from Alexandria.

Lattice parameters (Å, degrees): 4.394 7.717 8.802 90.00 90.00 90.00
Fractional coordinates of all 12 atoms:
Sr 0.000 0.595 0.750
Sr 0.000 0.405 0.250
Mg 0.000 0.000 0.500
Mg 0.000 0.000 0.000
Mg 0.500 0.955 0.750
Mg 0.500 0.045 0.250
Mg 0.500 0.710 0.065
Mg 0.500 0.290 0.935
Mg 0.500 0.710 0.435
Mg 0.500 0.290 0.565
Cu 0.000 0.187 0.750
Cu 0.000 0.813 0.250

Summary:
* E above lowest polymorph: 0.0 kJ/mol of atoms
* symmetry: Pmma
* ρ: 2.8 g cm⁻³
* crystal system: orthorhombic
* formation enthalpy at 0 K: -0.0956 eV per atom

# 6
The following is a GGA-PBE calculation of an optimized crystal structure of Sr2Mg2Cu, from Alexandria.

Lattice parameters (Å, degrees): 7.492 7.492 5.568 90.00 90.00 90.00
Fractional coordinates of all 10 atoms:
Sr 0.177 0.677 0.500
Sr 0.677 0.823 0.500
Sr 0.823 0.323 0.500
Sr 0.323 0.177 0.500
Mg 0.356 0.856 0.000
Mg 0.856 0.644 0.000
Mg 0.644 0.144 0.000
Mg 0.144 0.356 0.000
Cu 0.000 0.000 0.000
Cu 0.500 0.500 0.000

Summary:
* E above lowest polymorph: 14.7 kJ/mol of atoms
* symmetry: P4/mbm
* ρ: 3.1 g cm⁻³
* crystal system: tetragonal
* formation enthalpy at 0 K: 0.1175 eV per atom